[1]
DFT (PBE) results for a relaxed YAl2ZnAu4 crystal.

Cell lengths 4.4334, 4.4334, 26.2832 Å; angles 90.00, 90.00, 120.00 degrees
With the nearest neighbours (Å) after each atom.
Space group R-3m (No. 166, hexagonal axes)
Inequivalent atoms, fractional coordinates:
Y (0.0000, 0.0000, 0.0000) [3 per cell]  6 Au 3.03
Al (0.0000, 0.0000, 0.2437) [6 per cell]  7 Au 2.66-2.94
Zn (0.0000, 0.0000, 0.5000) [3 per cell]  8 Au 2.72-2.75
Au (0.0000, 0.0000, 0.1321) [6 per cell]  3 Zn 2.72, 4 Al 2.79-2.94
Au (0.0000, 0.0000, 0.3954) [6 per cell]  3 Al 2.66, 1 Zn 2.75

Calculated values
Energy relative to the elements (eV/f.u.): -4.1

[2]
DFT (PBE) results for a relaxed YAlZnAu crystal.

Cell lengths 6.7584, 6.7584, 6.7584 Å; angles 90.00, 90.00, 90.00 degrees
With the nearest neighbours (Å) after each atom.
Space group F-43m (No. 216)
Inequivalent atoms, fractional coordinates:
Y (0.0000, 0.0000, 0.0000) [4 per cell]  4 Au 2.93, 4 Zn 2.93
Al (0.0000, 0.0000, 0.5000) [4 per cell]  4 Zn 2.93, 4 Au 2.93
Zn (0.2500, 0.2500, 0.2500) [4 per cell]  4 Al 2.93, 4 Y 2.93
Au (0.2500, 0.2500, 0.7500) [4 per cell]  4 Al 2.93, 4 Y 2.93

Calculated values
Energy relative to the elements (eV/f.u.): -2.1

[3]
DFT (PBE) results for a relaxed Y2AlZn4Au3 crystal.

Cell lengths 4.0585, 4.0585, 11.7930 Å; angles 90.00, 90.00, 90.00 degrees
With the nearest neighbours (Å) after each atom.
Space group P-4m2 (No. 115)
Inequivalent atoms, fractional coordinates:
Y (0.0000, 0.5000, 0.2434) [2 per cell]  4 Zn 3.12, 4 Au 3.15
Al (0.5000, 0.5000, 0.0000) [1 per cell]  4 Zn 2.61, 4 Au 2.87
Zn (0.0000, 0.0000, 0.5000) [1 per cell]  4 Au 2.66, 4 Zn 2.87
Zn (0.0000, 0.5000, 0.8613) [2 per cell]  3 Au 2.54-2.61, 2 Al 2.61
Zn (0.5000, 0.5000, 0.5000) [1 per cell]  4 Au 2.66, 4 Zn 2.87
Au (0.0000, 0.0000, 0.0000) [1 per cell]  4 Zn 2.61, 4 Al 2.87
Au (0.0000, 0.5000, 0.6462) [2 per cell]  5 Zn 2.54-2.66

Calculated values
Energy relative to the elements (eV/f.u.): -5.1

[4]
DFT (PBE) results for a relaxed YAlZnAu2 crystal.

Cell lengths 5.4792, 5.4792, 5.9186 Å; angles 90.00, 90.00, 90.00 degrees
With the nearest neighbours (Å) after each atom.
Space group P4/mmm (No. 123)
Inequivalent atoms, fractional coordinates:
Y (0.0000, 0.0000, 0.0000) [1 per cell]  4 Au 2.74, 2 Al 2.96
Al (0.0000, 0.0000, 0.5000) [1 per cell]  2 Y 2.96
Zn (0.5000, 0.5000, 0.5000) [1 per cell]  4 Al 3.87, 8 Au 4.03
Au (0.0000, 0.5000, 0.0000) [2 per cell]  2 Y 2.74

Calculated values
Energy above the lowest structure with this stoichiometry (meV per atom): 1303
Energy relative to the elements (eV/f.u.): 3.5

[5]
DFT (PBE) results for a relaxed Y2Al3Zn4Au crystal.

Cell lengths 4.1404, 4.1404, 11.0042 Å; angles 90.00, 90.00, 90.00 degrees
With the nearest neighbours (Å) after each atom.
Space group P-4m2 (No. 115)
Inequivalent atoms, fractional coordinates:
Y (0.0000, 0.5000, 0.2459) [2 per cell]  8 Zn 3.17-3.41, 6 Al 3.17-3.48, 2 Au 3.48
Al (0.0000, 0.5000, 0.8653) [2 per cell]  5 Zn 2.43-2.55
Al (0.5000, 0.5000, 0.5000) [1 per cell]  4 Zn 2.61
Zn (0.0000, 0.0000, 0.0000) [1 per cell]  4 Al 2.55
Zn (0.0000, 0.5000, 0.6446) [2 per cell]  3 Al 2.43-2.61, 2 Au 2.61
Zn (0.5000, 0.5000, 0.0000) [1 per cell]  4 Al 2.55
Au (0.0000, 0.0000, 0.5000) [1 per cell]  4 Zn 2.61

Calculated values
Energy relative to the elements (eV/f.u.): -4.0

[6]
DFT (PBE) results for a relaxed YAlZn2Au4 crystal.

Cell lengths 4.5180, 4.5180, 25.0636 Å; angles 90.00, 90.00, 120.00 degrees
With the nearest neighbours (Å) after each atom.
Space group R-3m (No. 166, hexagonal axes)
Inequivalent atoms, fractional coordinates:
Y (0.0000, 0.0000, 0.0000) [3 per cell]  8 Au 3.03-3.33, 6 Zn 3.33
Al (0.0000, 0.0000, 0.5000) [3 per cell]  8 Au 2.64-2.74
Zn (0.0000, 0.0000, 0.2507) [6 per cell]  7 Au 2.66-2.95
Au (0.0000, 0.0000, 0.1329) [6 per cell]  3 Al 2.74, 4 Zn 2.90-2.95
Au (0.0000, 0.0000, 0.3945) [6 per cell]  1 Al 2.64, 3 Zn 2.66

Calculated values
Energy relative to the elements (eV/f.u.): -3.8

[7]
DFT (PBE) results for a relaxed YAlZnAu2 crystal.

Cell lengths 4.0147, 4.0147, 12.3814 Å; angles 90.00, 90.00, 90.00 degrees
With the nearest neighbours (Å) after each atom.
Space group I-4m2 (No. 119)
Inequivalent atoms, fractional coordinates:
Y (0.0000, 0.0000, 0.0000) [2 per cell]  8 Au 3.16
Al (0.0000, 0.5000, 0.2500) [2 per cell]  4 Au 2.64, 4 Zn 2.84
Zn (0.0000, 0.5000, 0.7500) [2 per cell]  4 Au 2.64, 4 Al 2.84
Au (0.0000, 0.0000, 0.3885) [4 per cell]  2 Al 2.64, 2 Zn 2.64, 1 Au 2.76

Calculated values
Energy above the lowest structure with this stoichiometry (meV per atom): 0
Energy relative to the elements (eV/f.u.): -3.1

[8]
DFT (PBE) results for a relaxed YAlZn2Au crystal.

Cell lengths 3.9797, 4.1659, 11.5815 Å; angles 90.00, 90.00, 90.00 degrees
With the nearest neighbours (Å) after each atom.
Space group Imm2 (No. 44)
Inequivalent atoms, fractional coordinates:
Y (0.0000, 0.0000, 0.0000) [2 per cell]  6 Zn 3.15-3.52, 4 Au 3.15, 2 Al 3.45
Al (0.0000, 0.5000, 0.7437) [2 per cell]  6 Zn 2.60-2.88, 2 Au 2.61
Zn (0.0000, 0.0000, 0.6093) [2 per cell]  2 Zn 2.54, 1 Au 2.55, 2 Al 2.60
Zn (0.0000, 0.5000, 0.2449) [2 per cell]  2 Zn 2.54, 2 Au 2.67
Au (0.0000, 0.0000, 0.3889) [2 per cell]  3 Zn 2.55-2.67, 2 Al 2.61

Calculated values
Energy relative to the elements (eV/f.u.): -2.5

[9]
DFT (PBE) results for a relaxed YbAl7Au3 crystal.

Cell lengths 8.0932, 8.0932, 21.3322 Å; angles 90.00, 90.00, 120.00 degrees
With the nearest neighbours (Å) after each atom.
Space group R-3c (No. 167, hexagonal axes)
Inequivalent atoms, fractional coordinates:
Yb (0.0000, 0.0000, 0.0000) [6 per cell]  6 Au 3.26, 12 Al 3.35-3.37
Al (0.0000, 0.0000, 0.2500) [6 per cell]  3 Au 2.62, 6 Al 2.91
Al (0.0107, 0.2071, 0.1372) [36 per cell]  3 Au 2.60-2.68, 5 Al 2.83-2.91
Au (0.0000, 0.3238, 0.2500) [18 per cell]  7 Al 2.60-2.68

Calculated values
Energy relative to the elements (eV/f.u.): -5.3

[10]
DFT (PBE) results for a relaxed AlZnAu3 crystal.

Cell lengths 4.2976, 4.3284, 9.2304 Å; angles 89.46, 76.59, 88.53 degrees
With the nearest neighbours (Å) after each atom.
Space group P-1 (No. 2)
Inequivalent atoms, fractional coordinates:
Al (0.1516, 0.2501, 0.1980) [2 per cell]  8 Au 2.70-2.80, 2 Zn 3.01
Zn (0.3466, 0.2502, 0.8041) [2 per cell]  8 Au 2.71-2.80, 2 Al 3.01
Au (0.0621, 0.7500, 0.3794) [2 per cell]  2 Al 2.70-2.71, 2 Zn 2.71, 2 Au 3.01
Au (0.2501, 0.7501, 0.0005) [2 per cell]  4 Zn 2.77-2.80, 4 Al 2.79-2.80, 4 Au 3.01-3.09
Au (0.4393, 0.7502, 0.6192) [2 per cell]  2 Al 2.70, 2 Zn 2.72-2.73, 2 Au 3.01

Calculated values
Energy above the lowest structure with this stoichiometry (meV per atom): 3
Energy relative to the elements (eV/f.u.): -1.2

[11]
DFT (PBE) results for a relaxed AlZn2Au crystal.

Cell lengths 3.3130, 3.6474, 5.3609 Å; angles 90.00, 90.00, 90.00 degrees
With the nearest neighbours (Å) after each atom.
Space group Pmm2 (No. 25)
Inequivalent atoms, fractional coordinates:
Al (0.0000, 0.0000, 0.0000) [1 per cell]  6 Zn 2.64-2.86, 4 Au 2.75
Zn (0.0000, 0.0000, 0.5083) [1 per cell]  2 Al 2.64-2.72, 4 Zn 2.73, 4 Au 2.89
Zn (0.5000, 0.5000, 0.7296) [1 per cell]  2 Au 2.67-2.70, 4 Zn 2.73, 4 Al 2.86
Au (0.5000, 0.5000, 0.2268) [1 per cell]  6 Zn 2.67-2.89, 4 Al 2.75

Calculated values
Energy relative to the elements (eV/f.u.): -0.6

[12]
DFT (PBE) results for a relaxed AlZnAu3 crystal.

Cell lengths 4.8604, 4.8604, 4.8604 Å; angles 90.00, 90.00, 90.00 degrees
With the nearest neighbours (Å) after each atom.
Space group Pm-3m (No. 221)
Inequivalent atoms, fractional coordinates:
Al (0.0000, 0.0000, 0.0000) [1 per cell]  6 Au 2.43
Zn (0.5000, 0.5000, 0.5000) [1 per cell]  12 Au 3.44
Au (0.0000, 0.0000, 0.5000) [3 per cell]  2 Al 2.43

Calculated values
Energy above the lowest structure with this stoichiometry (meV per atom): 572
Energy relative to the elements (eV/f.u.): 1.7

[13]
DFT (PBE) results for a relaxed AlZn7Au4 crystal.

Cell lengths 12.7305, 4.6436, 9.4399 Å; angles 90.00, 128.78, 90.00 degrees
With the nearest neighbours (Å) after each atom.
Space group C2/m (No. 12)
Inequivalent atoms, fractional coordinates:
Al (0.0000, 0.0000, 0.0000) [2 per cell]  2 Zn 2.32
Zn (0.0000, 0.5000, 0.0000) [2 per cell]  2 Al 2.32
Zn (0.0563, 0.0000, 0.3368) [4 per cell]  3 Au 2.58-2.69, 1 Zn 2.71, 1 Al 2.79
Zn (0.1493, 0.5000, 0.5816) [4 per cell]  5 Au 2.59-2.82
Zn (0.2147, 0.0000, 0.8597) [4 per cell]  4 Au 2.65-2.71, 1 Zn 2.71
Au (0.0801, 0.5000, 0.7877) [4 per cell]  8 Zn 2.59-2.82
Au (0.2102, 0.5000, 0.3461) [4 per cell]  6 Zn 2.58-2.78

Calculated values
Energy relative to the elements (eV/f.u.): -0.2

[14]
DFT (PBE) results for a relaxed Al2ZnAu crystal.

Cell lengths 8.4962, 3.1782, 4.9896 Å; angles 90.00, 100.28, 90.00 degrees
With the nearest neighbours (Å) after each atom.
Space group C2/m (No. 12)
Inequivalent atoms, fractional coordinates:
Al (0.2481, 0.0000, 0.2554) [4 per cell]  3 Zn 2.62-2.77, 3 Au 2.68-2.76, 2 Al 2.91
Zn (0.0000, 0.0000, 0.5000) [2 per cell]  6 Al 2.62-2.77
Au (0.0000, 0.5000, 0.0000) [2 per cell]  6 Al 2.68-2.76, 4 Zn 2.96

Calculated values
Energy relative to the elements (eV/f.u.): -0.7

[15]
DFT (PBE) results for a relaxed AlZn2Au crystal.

Cell lengths 5.2296, 7.7041, 3.2631 Å; angles 90.00, 90.00, 90.00 degrees
With the nearest neighbours (Å) after each atom.
Space group Cmmm (No. 65)
Inequivalent atoms, fractional coordinates:
Al (0.0000, 0.0000, 0.0000) [2 per cell]  2 Au 2.61, 8 Zn 2.84
Zn (0.2500, 0.2500, 0.5000) [4 per cell]  2 Zn 2.61, 4 Al 2.84, 4 Au 2.84
Au (0.0000, 0.5000, 0.0000) [2 per cell]  2 Al 2.61, 8 Zn 2.84

Calculated values
Energy relative to the elements (eV/f.u.): -0.5

[16]
DFT (PBE) results for a relaxed Al2ZnAu4 crystal.

Cell lengths 6.4637, 6.4890, 7.5797 Å; angles 112.57, 104.37, 104.79 degrees
With the nearest neighbours (Å) after each atom.
Space group P-1 (No. 2)
Inequivalent atoms, fractional coordinates:
Al (0.0000, 0.0000, 0.0000) [1 per cell]  6 Au 2.62-2.69
Al (0.0000, 0.0000, 0.5000) [1 per cell]  6 Au 2.60-2.70
Al (0.0000, 0.5000, 0.0000) [1 per cell]  6 Au 2.60-2.70
Al (0.5000, 0.0000, 0.5000) [1 per cell]  6 Au 2.62-2.69
Zn (0.3573, 0.6075, 0.7501) [2 per cell]  8 Au 2.57-2.87
Au (0.1270, 0.6362, 0.4083) [2 per cell]  3 Al 2.60-2.70, 2 Zn 2.75-2.81, 1 Au 2.88
Au (0.2728, 0.2810, 0.9075) [2 per cell]  3 Al 2.60-2.70, 2 Zn 2.75-2.81, 1 Au 2.87
Au (0.2929, 0.2626, 0.4007) [2 per cell]  2 Zn 2.57-2.86, 3 Al 2.63-2.69, 2 Au 2.83-2.88
Au (0.3607, 0.8923, 0.0992) [2 per cell]  2 Zn 2.57-2.87, 3 Al 2.62-2.69, 2 Au 2.83-2.87

Calculated values
Energy above the lowest structure with this stoichiometry (meV per atom): 62
Energy relative to the elements (eV/f.u.): -1.4

[17]
DFT (PBE) results for a relaxed Al2ZnAu crystal.

Cell lengths 2.8936, 3.8625, 5.8415 Å; angles 90.00, 90.00, 90.00 degrees
With the nearest neighbours (Å) after each atom.
Space group Pmmm (No. 47)
Inequivalent atoms, fractional coordinates:
Al (0.0000, 0.0000, 0.2416) [2 per cell]  4 Zn 2.80, 4 Al 2.82-3.02, 4 Au 2.85
Zn (0.5000, 0.5000, 0.0000) [1 per cell]  8 Al 2.80, 2 Zn 2.89, 2 Au 2.92
Au (0.5000, 0.5000, 0.5000) [1 per cell]  8 Al 2.85, 2 Au 2.89, 2 Zn 2.92

Calculated values
Energy relative to the elements (eV/f.u.): -0.5

[18]
DFT (PBE) results for a relaxed Al2Zn2Au3 crystal.

Cell lengths 4.2901, 4.4569, 7.6851 Å; angles 75.56, 73.85, 61.28 degrees
With the nearest neighbours (Å) after each atom.
Space group P-1 (No. 2)
Inequivalent atoms, fractional coordinates:
Al (0.1089, 0.1581, 0.1256) [2 per cell]  5 Au 2.53-2.75
Zn (0.3723, 0.3927, 0.3634) [2 per cell]  6 Au 2.70-2.76, 2 Al 2.99-3.00
Au (0.0000, 0.0000, 0.5000) [1 per cell]  6 Zn 2.70-2.75, 2 Al 2.75
Au (0.2521, 0.2152, 0.7794) [2 per cell]  4 Al 2.53-2.64, 3 Zn 2.73-2.76

Calculated values
Energy relative to the elements (eV/f.u.): -2.0

[19]
DFT (PBE) results for a relaxed Al2ZnAu crystal.

Cell lengths 2.8909, 2.8909, 7.9236 Å; angles 90.00, 90.00, 90.00 degrees
With the nearest neighbours (Å) after each atom.
Space group P4mm (No. 99)
Inequivalent atoms, fractional coordinates:
Al (0.0000, 0.0000, 0.0000) [1 per cell]  4 Zn 2.83, 8 Al 2.89-2.93
Al (0.5000, 0.5000, 0.2641) [1 per cell]  4 Au 2.77, 8 Al 2.89-2.93
Zn (0.5000, 0.5000, 0.7525) [1 per cell]  4 Al 2.83, 4 Au 2.86, 4 Zn 2.89
Au (0.0000, 0.0000, 0.4993) [1 per cell]  4 Al 2.77, 4 Zn 2.86, 4 Au 2.89

Calculated values
Energy relative to the elements (eV/f.u.): -0.4

[20]
DFT (PBE) results for a relaxed Al2ZnAu2 crystal.

Cell lengths 3.9040, 3.9040, 12.2505 Å; angles 90.00, 90.00, 90.00 degrees
With the nearest neighbours (Å) after each atom.
Space group I4/mmm (No. 139)
Inequivalent atoms, fractional coordinates:
Al (0.0000, 0.5000, 0.2500) [4 per cell]  4 Au 2.58, 4 Al 2.76
Zn (0.0000, 0.0000, 0.0000) [2 per cell]  8 Au 3.08
Au (0.0000, 0.0000, 0.3881) [4 per cell]  4 Al 2.58, 1 Au 2.74

Calculated values
Energy above the lowest structure with this stoichiometry (meV per atom): 201
Energy relative to the elements (eV/f.u.): -0.7